1.
This record from OQMD describes Sn2HgGe after structural relaxation. The functional is PBE-GGA.

a b c (Å): 7.3721 7.3721 7.3721
angles (deg): 90.00 90.00 90.00
With the nearest neighbours (Å) after each atom.
Space group F-43m (No. 216)
Inequivalent atoms, fractional coordinates:
Sn1 0.0000 0.0000 0.0000 x4  4 Hg 3.19, 4 Sn 3.19
Sn2 0.2500 0.2500 0.2500 x4  4 Sn 3.19, 4 Ge 3.19
Hg1 0.2500 0.2500 0.7500 x4  4 Ge 3.19, 4 Sn 3.19
Ge1 0.0000 0.0000 0.5000 x4  4 Sn 3.19, 4 Hg 3.19

Calculated values
E	-3.04	eV per atom
V	25.0	Å³ per atom

2.
This record from OQMD describes Sr2ZnHgGe2 after structural relaxation. The functional is PBE-GGA.

a b c (Å): 4.5116 4.5116 8.9814
angles (deg): 90.00 90.00 120.00
With the nearest neighbours (Å) after each atom.
Space group P-6m2 (No. 187)
Inequivalent atoms, fractional coordinates:
Sr1 0.0000 0.0000 0.2463 x2  6 Ge 3.42-3.46, 3 Zn 3.42, 3 Hg 3.46
Zn1 0.6667 0.3333 0.0000 x1  3 Ge 2.60
Hg1 0.3333 0.6667 0.5000 x1  3 Ge 2.60
Ge1 0.3333 0.6667 0.0000 x1  3 Zn 2.60
Ge2 0.6667 0.3333 0.5000 x1  3 Hg 2.60

Calculated values
E	-2.86	eV per atom
V	26.4	Å³ per atom

3.
This record from OQMD describes TaHg2Ge after structural relaxation. The functional is PBE-GGA.

a b c (Å): 6.8450 6.8450 6.8450
angles (deg): 90.00 90.00 90.00
With the nearest neighbours (Å) after each atom.
Space group F-43m (No. 216)
Inequivalent atoms, fractional coordinates:
Ta1 0.0000 0.0000 0.0000 x4  4 Hg 2.96, 4 Ge 2.96
Hg1 0.0000 0.0000 0.5000 x4  4 Ge 2.96, 4 Hg 2.96
Hg2 0.2500 0.2500 0.2500 x4  4 Hg 2.96, 4 Ta 2.96
Ge1 0.2500 0.2500 0.7500 x4  4 Ta 2.96, 4 Hg 2.96

Calculated values
E	-3.60	eV per atom
V	20.0	Å³ per atom
size of the total moment	0.01	μB/atom

4.
This record from OQMD describes TbHgGeTe3 after structural relaxation. The functional is PBE-GGA.

a b c (Å): 4.5666 15.4902 11.7331
angles (deg): 90.00 90.00 90.00
With the nearest neighbours (Å) after each atom.
Space group Cmcm (No. 63)
Inequivalent atoms, fractional coordinates:
Tb1 0.0000 0.0000 0.0000 x4  6 Te 3.11-3.15
Hg1 0.0000 0.2591 0.2500 x4  8 Te 3.53-3.94
Ge1 0.0000 0.4598 0.7500 x4  4 Te 2.72-2.83
Te1 0.0000 0.0672 0.7500 x4  2 Ge 2.83, 2 Tb 3.11
Te2 0.0000 0.3665 0.5540 x8  1 Ge 2.72

Calculated values
E	-3.69	eV per atom
V	34.6	Å³ per atom
size of the total moment	0.00	μB/atom

5.
This record from OQMD describes Tc2HgGe after structural relaxation. The functional is PBE-GGA.

a b c (Å): 6.4327 6.4327 6.4327
angles (deg): 90.00 90.00 90.00
With the nearest neighbours (Å) after each atom.
Space group F-43m (No. 216)
Inequivalent atoms, fractional coordinates:
Tc1 0.0000 0.0000 0.0000 x4  4 Tc 2.79, 4 Hg 2.79
Tc2 0.2500 0.2500 0.2500 x4  4 Ge 2.79, 4 Tc 2.79
Hg1 0.2500 0.2500 0.7500 x4  4 Ge 2.79, 4 Tc 2.79
Ge1 0.0000 0.0000 0.5000 x4  4 Hg 2.79, 4 Tc 2.79

Calculated values
E	-5.77	eV per atom
V	16.6	Å³ per atom
size of the total moment	0.00	μB/atom

6.
This record from OQMD describes HgGeTe after structural relaxation. The functional is PBE-GGA.

a b c (Å): 7.2028 7.2028 7.2028
angles (deg): 90.00 90.00 90.00
With the nearest neighbours (Å) after each atom.
Space group F-43m (No. 216)
Inequivalent atoms, fractional coordinates:
Hg1 0.0000 0.0000 0.0000 x4  4 Te 3.12
Ge1 0.0000 0.0000 0.5000 x4  4 Te 3.12
Te1 0.2500 0.2500 0.7500 x4  4 Ge 3.12, 4 Hg 3.12

Calculated values
E	-2.42	eV per atom
V	31.1	Å³ per atom

7.
This record from OQMD describes Hg2GeTe3 after structural relaxation. The functional is PBE-GGA.

a b c (Å): 4.1723 15.4314 10.8819
angles (deg): 90.00 90.00 90.00
With the nearest neighbours (Å) after each atom.
Space group Cmcm (No. 63)
Inequivalent atoms, fractional coordinates:
Hg1 0.0000 0.0000 0.0000 x4  6 Te 3.10-3.46, 4 Hg 3.47
Hg2 0.0000 0.4673 0.2500 x4  4 Te 2.89
Ge1 0.0000 0.2372 0.7500 x4  6 Te 3.02-3.31
Te1 0.0000 0.0966 0.2500 x4  4 Hg 2.89-3.10
Te2 0.0000 0.3283 0.0726 x8  1 Hg 2.89, 2 Ge 3.02

Calculated values
E	-2.33	eV per atom
V	29.2	Å³ per atom

8.
This record from OQMD describes HgGeTe2 after structural relaxation. The functional is PBE-GGA.

a b c (Å): 7.4994 7.4994 7.4994
angles (deg): 90.00 90.00 90.00
With the nearest neighbours (Å) after each atom.
Space group F-43m (No. 216)
Inequivalent atoms, fractional coordinates:
Hg1 0.0000 0.0000 0.0000 x4  4 Ge 3.25, 4 Te 3.25
Ge1 0.2500 0.2500 0.7500 x4  4 Hg 3.25, 4 Te 3.25
Te1 0.0000 0.0000 0.5000 x4  4 Ge 3.25, 4 Te 3.25
Te2 0.2500 0.2500 0.2500 x4  4 Te 3.25, 4 Hg 3.25

Calculated values
E	-2.48	eV per atom
V	26.4	Å³ per atom

Which formula does entry 4 have?
TbHgGeTe3

The lowest E belongs to which entry?
Tc2HgGe